No. 1
NaMg2ScBr8 (PBE-GGA, relaxed); E_tot = -3.519 eV/atom
1.0
-2.1839 -4.8616 -3.9593
-2.8313 -2.8261 4.9831
-6.7825 4.2314 -1.4541
Na Mg Sc Br
1 2 1 8
direct
0.0000 0.0000 0.5000
0.5000 0.5000 0.7422
0.5000 0.5000 0.2578
0.0000 0.0000 0.0000
0.1764 0.7719 0.2295
0.6742 0.7243 0.0000
0.8236 0.2281 0.2295
0.8236 0.2281 0.7705
0.3258 0.2757 0.0000
0.1764 0.7719 0.7705
0.6617 0.7141 0.5000
0.3383 0.2859 0.5000

No. 2
KTcRu2 (PBE-GGA, relaxed); energy above the most stable polymorph in this dataset = 0.667 eV per atom; energy of formation from the pure elements = 1315 meV per atom
1.0
0.0000 3.1988 3.1988
3.1988 0.0000 3.1988
3.1988 3.1988 0.0000
Ru K Tc
2 1 1
direct
0.2500 0.2500 0.2500
0.7500 0.7500 0.7500
0.0000 0.0000 0.0000
0.5000 0.5000 0.5000

No. 3
Sr2PmCl6 (PBE-GGA, relaxed); E_tot = -4.362 eV/atom
1.0
-6.5598 1.8827 -2.9880
-0.5154 -6.5165 -2.9744
-3.5672 -3.7789 8.8971
Sr Pm Cl
4 2 12
direct
0.9638 0.3777 0.7750
0.5362 0.8777 0.7250
0.4638 0.1223 0.2750
0.0362 0.6223 0.2250
0.5000 0.5000 0.0000
0.0000 0.0000 0.5000
0.8209 0.9624 0.2467
0.8252 0.6908 0.5979
0.8220 0.6717 0.9449
0.6780 0.1717 0.5551
0.6748 0.1908 0.9021
0.6791 0.4624 0.2533
0.1791 0.0376 0.7533
0.1748 0.3092 0.4021
0.1780 0.3283 0.0551
0.3220 0.8283 0.4449
0.3252 0.8092 0.0979
0.3209 0.5376 0.7467

No. 4
CdPtW2 (PBE-GGA, relaxed); energy of formation from the pure elements = 229 meV per atom
1.0
-1.4426 -1.0587 -2.7568
0.9373 -3.0736 0.6900
-5.3930 -0.9308 3.1796
W Pt Cd
2 1 1
direct
0.0000 0.0000 0.0138
0.5000 0.5000 0.2229
0.5000 0.5000 0.7579
0.0000 0.0000 0.5055

No. 5
K2MgTaTi (PBE-GGA, relaxed); energy of formation from the pure elements = 1995 meV per atom
1.0
5.8720 0.0000 0.0000
0.0000 5.6252 0.0000
0.0000 0.0000 5.8720
K Ti Mg Ta
2 1 1 1
direct
0.0000 0.0000 0.5000
0.5000 0.0000 0.0000
0.0000 0.5000 0.0000
0.0000 0.0000 0.0000
0.5000 0.5000 0.5000

No. 6
TlZnAg2 (PBE-GGA, relaxed); energy of formation from the pure elements = 93 meV per atom
1.0
-2.1533 2.6085 -1.4803
-2.5921 -2.0022 0.2424
-1.2691 2.3596 6.0043
Ag Tl Zn
2 1 1
direct
0.0000 0.6255 0.9823
0.5000 0.1248 0.2197
0.0000 0.6239 0.4975
0.5000 0.1258 0.8005